Record 1
KZr2Tc | GGA-PBEsol | optimized geometry

The structure in POSCAR format:
```
KZr2Tc
1.0
3.1782 0.0000 0.0000
0.0000 4.2418 0.0000
-1.1777 0.0000 8.2091
K Zr Tc
1 2 1
Cartesian
0.0000 0.0000 0.0000 K
0.3343 2.1209 5.2251 Zr
2.3313 0.0000 3.4114 Zr
0.9108 2.1209 2.8849 Tc
```

For the total energy, the calculation gives -28.53 eV for the cell shown. The value obtained for the formation energy is 2.05 eV/f.u. The offset from the most stable computed form comes out at 0.351 eV per atom. Its space group is No. 6. The value obtained for the density of states at the Fermi level is 3.7 states/eV/f.u.

=====

Record 2
CoMoW | GGA-PBEsol | optimized geometry

The structure in POSCAR format:
```
CoMoW
1.0
0.0000 2.9044 2.9044
2.9044 0.0000 2.9044
2.9044 2.9044 0.0000
Co Mo W
1 1 1
Cartesian
0.0000 0.0000 0.0000 Co
2.9044 2.9044 2.9044 Mo
1.4522 1.4522 1.4522 W
```

For the total energy, the calculation gives -30.16 eV for the cell shown. The value obtained for the formation energy is 3.15 eV/f.u. Its space group is No. 216. The value obtained for the density of states at the Fermi level is 4.0 states/eV/f.u.

=====

Record 3
SrTa2W | GGA-PBEsol | optimized geometry

The structure in POSCAR format:
```
SrTa2W
1.0
0.0000 3.3794 3.3794
3.3794 0.0000 3.3794
3.3794 3.3794 0.0000
Sr Ta W
1 2 1
Cartesian
0.0000 0.0000 0.0000 Sr
1.6897 1.6897 1.6897 Ta
5.0691 5.0691 5.0691 Ta
3.3794 3.3794 3.3794 W
```

For the total energy, the calculation gives -36.72 eV for the cell shown. The value obtained for the formation energy is 4.03 eV/f.u. The offset from the most stable computed form comes out at 0.350 eV per atom. Its space group is No. 225. The value obtained for the density of states at the Fermi level is 5.2 states/eV/f.u.

=====

Record 4
Mg2HgIr | GGA-PBEsol | optimized geometry

The structure in POSCAR format:
```
Mg2HgIr
1.0
-2.2355 2.2355 3.3600
2.2355 -2.2355 3.3600
2.2355 2.2355 -3.3600
Mg Hg Ir
2 1 1
Cartesian
2.2355 0.0000 1.6800 Mg
0.0000 2.2355 1.6800 Mg
0.0000 0.0000 0.0000 Hg
0.0000 0.0000 3.3600 Ir
```

For the total energy, the calculation gives -14.74 eV for the cell shown. The value obtained for the formation energy is -0.92 eV/f.u. The offset from the most stable computed form comes out at 0.078 eV per atom. Its space group is No. 139. The value obtained for the density of states at the Fermi level is 1.7 states/eV/f.u.